Ba2Sr: relaxed, PBE.

Computed properties:
- ΔE to the lowest computed polymorph: 0.001 eV per atom
- ρ: 3.3 g cm⁻³
- Space-group type: Fmmm
- Fermi-level density of states: 3.6 states/eV/f.u.
- Calculated formation energy: 0.002 eV per atom
- Total moment: 0.0 μB/f.u.

Geometry as POSCAR:
```
Ba2Sr
1.0
-2.658 -0.126 -3.345
-1.775 -2.219 3.193
-2.451 9.779 3.462
Ba Sr
2 1
direct
0.665 0.665 0.330 Ba
0.335 0.335 0.670 Ba
0.000 0.000 0.000 Sr
```

Ba3Sr: relaxed, PBE.

Computed properties:
- ΔE to the lowest computed polymorph: 0.142 eV per atom
- ρ: 3.3 g cm⁻³
- Space-group type: Cmcm
- Fermi-level density of states: 4.5 states/eV/f.u.
- Calculated formation energy: 0.142 eV per atom
- Total moment: 0.0 μB/f.u.

Geometry as POSCAR:
```
Ba3Sr
1.0
4.718 3.308 5.864
-6.020 5.385 1.535
-2.928 -4.701 5.007
Ba Sr
6 2
direct
0.068 0.068 0.750 Ba
0.437 0.084 0.250 Ba
0.932 0.932 0.250 Ba
0.916 0.563 0.750 Ba
0.084 0.437 0.250 Ba
0.563 0.916 0.750 Ba
0.582 0.582 0.250 Sr
0.418 0.418 0.750 Sr
```

Question: What is the formula in the first record?
Answer: Ba2Sr

Question: Look up the Fermi-level density of states of the first one.
Answer: 3.6 states/eV/f.u.